Entry 1:
Sc4AlCd after structural relaxation, computed with GGA-PBE.

Results
Fermi-level density of states = 5.7 states/eV per cell
symmetry = No. 216
calculated formation energy = 0.206 eV per atom
excess energy over the best structure of this formula in the dataset = 438 meV per atom

Unit cell a=5.798 b=5.798 c=5.798 alpha=60.00 beta=60.00 gamma=60.00
Sites, in units of the cell vectors:
Sc 0.376 0.376 0.376
Al 0.750 0.750 0.750
Sc 0.376 0.376 0.873
Cd 0.000 0.000 0.000
Sc 0.376 0.873 0.376
Sc 0.873 0.376 0.376

Entry 2:
Sc2AlCd2 after structural relaxation, computed with GGA-PBE.

Results
Fermi-level density of states = 3.6 states/eV per cell
symmetry = No. 139
calculated formation energy = 0.267 eV per atom
excess energy over the best structure of this formula in the dataset = 537 meV per atom

Unit cell a=4.318 b=4.318 c=7.271 alpha=72.73 beta=72.73 gamma=90.00
Site moments in Bohr magnetons follow the coordinates.
Sites, in units of the cell vectors:
Sc 0.750 0.250 0.500  0.35
Cd 0.401 0.401 0.199  0.00
Sc 0.250 0.750 0.500  0.35
Cd 0.599 0.599 0.801  0.00
Al 0.000 0.000 0.000  0.00

Entry 3:
Sc3AlCd after structural relaxation, computed with GGA-PBE.

Results
Fermi-level density of states = 8.8 states/eV per cell
symmetry = No. 221
calculated formation energy = 0.296 eV per atom
excess energy over the best structure of this formula in the dataset = 571 meV per atom

Unit cell a=5.151 b=5.151 c=5.151 alpha=90.00 beta=90.00 gamma=90.00
Sites, in units of the cell vectors:
Sc 0.500 0.000 0.000
Cd 0.500 0.500 0.500
Al 0.000 0.000 0.000
Sc 0.000 0.500 0.000
Sc 0.000 0.000 0.500

Entry 4:
ScAlCd2 after structural relaxation, computed with GGA-PBE.

Results
Fermi-level density of states = 2.4 states/eV per cell
symmetry = No. 10
calculated formation energy = -0.121 eV per atom

Unit cell a=4.737 b=3.121 c=5.785 alpha=81.05 beta=90.00 gamma=90.00
Site moments in Bohr magnetons follow the coordinates.
Sites, in units of the cell vectors:
Cd 0.000 0.663 0.501  0.00
Al 0.500 0.750 0.750  0.00
Sc 0.500 0.250 0.250  0.18
Cd 0.000 0.837 0.999  0.00

Entry 5:
Sc4AlCd2 after structural relaxation, computed with GGA-PBE.

Results
Fermi-level density of states = 8.9 states/eV per cell
symmetry = No. 166
calculated formation energy = -0.130 eV per atom

Unit cell a=4.873 b=4.873 c=8.366 alpha=73.07 beta=73.07 gamma=60.00
Site moments in Bohr magnetons follow the coordinates.
Sites, in units of the cell vectors:
Cd 0.254 0.254 0.239  0.00
Sc 0.381 0.381 0.857  0.02
Al 0.000 0.000 0.000  0.00
Sc 0.128 0.128 0.616  0.09
Sc 0.619 0.619 0.143  0.02
Cd 0.746 0.746 0.761  0.00
Sc 0.872 0.872 0.384  0.09

Entry 6:
Sc6AlCd5 after structural relaxation, computed with GGA-PBE.

Results
Fermi-level density of states = 11.3 states/eV per cell
symmetry = No. 65
calculated formation energy = -0.316 eV per atom

Unit cell a=4.961 b=7.044 c=7.854 alpha=90.00 beta=71.59 gamma=90.00
Sites, in units of the cell vectors:
Cd 0.669 0.000 0.663
Al 0.000 0.000 0.000
Sc 0.500 0.757 0.000
Sc 0.164 0.753 0.672
Sc 0.836 0.753 0.328
Sc 0.164 0.247 0.672
Sc 0.836 0.247 0.328
Cd 0.331 0.000 0.337
Cd 0.000 0.500 0.000
Sc 0.500 0.243 0.000
Cd 0.667 0.500 0.666
Cd 0.333 0.500 0.334

Entry 7:
Sc3AlCd after structural relaxation, computed with GGA-PBE.

Results
Fermi-level density of states = 7.9 states/eV per cell
symmetry = No. 221
calculated formation energy = 0.553 eV per atom
excess energy over the best structure of this formula in the dataset = 827 meV per atom

Unit cell a=5.223 b=5.223 c=5.223 alpha=90.00 beta=90.00 gamma=90.00
Sites, in units of the cell vectors:
Sc 0.000 0.500 0.000
Sc 0.000 0.000 0.500
Sc 0.500 0.000 0.000
Al 0.500 0.500 0.500
Cd 0.000 0.000 0.000

Entry 8:
ScAlCd2 after structural relaxation, computed with GGA-PBE.

Results
Fermi-level density of states = 2.1 states/eV per cell
symmetry = No. 6
calculated formation energy = -0.179 eV per atom

Unit cell a=4.510 b=3.074 c=6.196 alpha=75.50 beta=90.00 gamma=90.00
Sites, in units of the cell vectors:
Cd 0.000 0.809 0.004
Sc 0.000 0.547 0.532
Al 0.500 0.951 0.723
Cd 0.500 0.192 0.241

Entry 9:
Sc8Al2Cd after structural relaxation, computed with GGA-PBE.

Results
Fermi-level density of states = 13.8 states/eV per cell
symmetry = No. 12
calculated formation energy = -0.088 eV per atom
excess energy over the best structure of this formula in the dataset = 130 meV per atom

Unit cell a=5.109 b=7.948 c=7.948 alpha=118.35 beta=103.16 gamma=103.16
Sites, in units of the cell vectors:
Sc 0.130 0.333 0.096
Al 0.000 0.305 0.695
Sc 0.702 0.402 0.402
Cd 0.500 0.000 0.000
Sc 0.500 0.784 0.216
Sc 0.870 0.667 0.904
Sc 0.298 0.598 0.598
Sc 0.130 0.096 0.333
Sc 0.500 0.216 0.784
Sc 0.870 0.904 0.667
Al 0.000 0.695 0.305

Entry 10:
ScAlCd2 after structural relaxation, computed with GGA-PBE.

Results
Fermi-level density of states = 3.6 states/eV per cell
symmetry = No. 25
calculated formation energy = -0.093 eV per atom

Unit cell a=3.095 b=4.336 c=6.274 alpha=90.00 beta=90.00 gamma=90.00
Sites, in units of the cell vectors:
Cd 0.000 0.000 0.998
Cd 0.500 0.500 0.252
Al 0.500 0.500 0.735
Sc 0.000 0.000 0.514

Entry 11:
Sc3Al2Cd3 after structural relaxation, computed with GGA-PBE.

Results
Fermi-level density of states = 12.4 states/eV per cell
symmetry = No. 63
calculated formation energy = -0.224 eV per atom

Unit cell a=4.461 b=5.728 c=14.652 alpha=90.00 beta=90.00 gamma=112.91
Sites, in units of the cell vectors:
Cd 0.623 0.246 0.038
Sc 0.662 0.323 0.250
Sc 0.079 0.158 0.612
Sc 0.921 0.842 0.112
Al 0.791 0.583 0.884
Cd 0.618 0.236 0.750
Al 0.791 0.583 0.616
Cd 0.382 0.764 0.250
Al 0.209 0.417 0.384
Sc 0.921 0.842 0.388
Cd 0.377 0.754 0.538
Sc 0.338 0.677 0.750
Sc 0.079 0.158 0.888
Cd 0.623 0.246 0.462
Cd 0.377 0.754 0.962
Al 0.209 0.417 0.116

Entry 12:
Sc2AlCd after structural relaxation, computed with GGA-PBE.

Results
Fermi-level density of states = 2.5 states/eV per cell
symmetry = No. 123
calculated formation energy = -0.372 eV per atom
excess energy over the best structure of this formula in the dataset = 0 meV per atom

Unit cell a=3.216 b=3.216 c=7.998 alpha=90.00 beta=90.00 gamma=90.00
Sites, in units of the cell vectors:
Sc 0.000 0.000 0.014
Sc 0.000 0.000 0.486
Cd 0.500 0.500 0.750
Al 0.500 0.500 0.250

Entry 13:
Sc6Al3Cd after structural relaxation, computed with GGA-PBE.

Results
Fermi-level density of states = 21.6 states/eV per cell
symmetry = No. 11
calculated formation energy = -0.327 eV per atom

Unit cell a=4.875 b=8.512 c=10.695 alpha=108.66 beta=90.00 gamma=90.00
Sites, in units of the cell vectors:
Sc 0.250 0.140 0.170
Cd 0.750 0.041 0.409
Sc 0.250 0.266 0.499
Sc 0.750 0.545 0.921
Sc 0.250 0.659 0.673
Sc 0.250 0.095 0.879
Sc 0.250 0.828 0.285
Sc 0.750 0.860 0.830
Al 0.250 0.773 0.973
Al 0.750 0.227 0.027
Sc 0.750 0.341 0.327
Sc 0.250 0.455 0.079
Cd 0.250 0.959 0.591
Al 0.750 0.614 0.214
Sc 0.750 0.172 0.715
Al 0.250 0.532 0.372
Al 0.250 0.386 0.786
Sc 0.750 0.905 0.121
Sc 0.750 0.734 0.501
Al 0.750 0.468 0.628

Entry 14:
Sc6AlCd3 after structural relaxation, computed with GGA-PBE.

Results
Fermi-level density of states = 20.4 states/eV per cell
symmetry = No. 11
calculated formation energy = -0.245 eV per atom

Unit cell a=4.954 b=8.678 c=10.756 alpha=106.87 beta=90.00 gamma=90.00
Site moments in Bohr magnetons follow the coordinates.
Sites, in units of the cell vectors:
Sc 0.250 0.459 0.090  0.07
Sc 0.250 0.095 0.881  0.09
Sc 0.750 0.866 0.824  0.14
Sc 0.750 0.337 0.320  0.01
Sc 0.250 0.232 0.493  0.01
Sc 0.250 0.847 0.314  0.03
Cd 0.250 0.530 0.382  0.00
Cd 0.250 0.774 0.976  0.00
Cd 0.750 0.623 0.220  0.00
Cd 0.750 0.470 0.618  0.00
Sc 0.250 0.663 0.680  0.01
Cd 0.250 0.377 0.780  0.00
Al 0.750 0.045 0.394  0.00
Sc 0.750 0.541 0.910  0.07
Sc 0.750 0.153 0.686  0.03
Sc 0.750 0.905 0.119  0.09
Sc 0.250 0.134 0.176  0.14
Al 0.250 0.955 0.606  0.00
Sc 0.750 0.768 0.507  0.01
Cd 0.750 0.226 0.024  0.00

Entry 15:
Sc2AlCd after structural relaxation, computed with GGA-PBE.

Results
Fermi-level density of states = 3.5 states/eV per cell
symmetry = No. 25
calculated formation energy = -0.151 eV per atom
excess energy over the best structure of this formula in the dataset = 221 meV per atom

Unit cell a=3.226 b=4.418 c=6.075 alpha=90.00 beta=90.00 gamma=90.00
Sites, in units of the cell vectors:
Sc 0.000 0.000 0.993
Sc 0.500 0.500 0.272
Al 0.000 0.000 0.475
Cd 0.500 0.500 0.760

Entry 16:
ScAlCd2 after structural relaxation, computed with GGA-PBE.

Results
Fermi-level density of states = 2.4 states/eV per cell
symmetry = No. 12
calculated formation energy = -0.084 eV per atom

Unit cell a=5.382 b=6.022 c=2.988 alpha=77.74 beta=85.41 gamma=115.28
Site moments in Bohr magnetons follow the coordinates.
Sites, in units of the cell vectors:
Cd 0.500 0.000 0.500  0.00
Al 0.500 0.500 0.000  0.00
Sc 0.000 0.500 0.500  0.20
Cd 0.000 0.000 0.000  0.00

Entry 17:
Sc3Al2Cd2 after structural relaxation, computed with GGA-PBE.

Results
Fermi-level density of states = 5.0 states/eV per cell
symmetry = No. 2
calculated formation energy = -0.184 eV per atom

Unit cell a=4.797 b=4.801 c=8.361 alpha=90.62 beta=106.00 gamma=120.17
Sites, in units of the cell vectors:
Al 0.764 0.383 0.147
Sc 0.486 0.745 0.231
Cd 0.745 0.867 0.615
Sc 0.514 0.255 0.769
Al 0.236 0.617 0.853
Sc 0.000 0.000 0.000
Cd 0.255 0.133 0.385

Entry 18:
Sc3Al2Cd4 after structural relaxation, computed with GGA-PBE.

Results
Fermi-level density of states = 6.2 states/eV per cell
symmetry = No. 12
calculated formation energy = -0.288 eV per atom

Unit cell a=4.711 b=5.744 c=8.784 alpha=116.98 beta=90.00 gamma=114.21
Sites, in units of the cell vectors:
Al 0.392 0.785 0.724
Cd 0.297 0.594 0.958
Al 0.608 0.215 0.276
Sc 0.666 0.332 0.668
Cd 0.072 0.145 0.402
Cd 0.928 0.855 0.598
Sc 0.000 0.000 0.000
Cd 0.703 0.406 0.042
Sc 0.334 0.668 0.332

Entry 19:
ScAlCd2 after structural relaxation, computed with GGA-PBE.

Results
Fermi-level density of states = 3.8 states/eV per cell
symmetry = No. 123
calculated formation energy = -0.238 eV per atom

Unit cell a=4.437 b=4.286 c=4.286 alpha=90.00 beta=90.00 gamma=90.00
Sites, in units of the cell vectors:
Cd 0.000 0.000 0.000
Sc 0.500 0.500 0.000
Al 0.500 0.000 0.500
Cd 0.000 0.500 0.500

Entry 20:
Sc2AlCd2 after structural relaxation, computed with GGA-PBE.

Results
Fermi-level density of states = 6.6 states/eV per cell
symmetry = No. 127
calculated formation energy = 0.002 eV per atom
excess energy over the best structure of this formula in the dataset = 271 meV per atom

Unit cell a=7.750 b=7.750 c=3.839 alpha=90.00 beta=90.00 gamma=90.00
Sites, in units of the cell vectors:
Cd 0.146 0.646 0.500
Al 0.500 0.500 0.000
Sc 0.654 0.154 0.000
Cd 0.354 0.146 0.500
Al 0.000 0.000 0.000
Sc 0.346 0.846 0.000
Cd 0.854 0.354 0.500
Sc 0.846 0.654 0.000
Cd 0.646 0.854 0.500
Sc 0.154 0.346 0.000